The following is a PBE calculation of crystalline Mg2ScMn2 at its relaxed geometry, from Alexandria.

Lattice parameters (Å, degrees): 7.6936 7.6936 3.1752 90.00 90.00 90.00
Closest atoms and distances in Å follow each position.
Fractional positions:
Mg1 0.6631 0.8369 0.5000  6 Mn 2.73-2.78
Mg2 0.1631 0.6631 0.5000  6 Mn 2.73-2.78
Mg3 0.8369 0.3369 0.5000  6 Mn 2.73-2.78
Mg4 0.3369 0.1631 0.5000  6 Mn 2.73-2.78
Sc1 0.0000 0.0000 0.0000  4 Mn 3.01, 2 Sc 3.18, 8 Mg 3.29
Sc2 0.5000 0.5000 0.0000  4 Mn 3.01, 2 Sc 3.18, 8 Mg 3.29
Mn1 0.8677 0.6323 0.0000  6 Mg 2.73-2.78, 1 Mn 2.88, 2 Sc 3.01
Mn2 0.1323 0.3677 0.0000  6 Mg 2.73-2.78, 1 Mn 2.88, 2 Sc 3.01
Mn3 0.3677 0.8677 0.0000  6 Mg 2.73-2.78, 1 Mn 2.88, 2 Sc 3.01
Mn4 0.6323 0.1323 0.0000  6 Mg 2.73-2.78, 1 Mn 2.88, 2 Sc 3.01

**DOS at the Fermi energy**: 1.248 states/eV/atom
**Formation energy**: 259 meV per atom